(1)
# Nd4Ni3O10

An optimized crystal structure of Nd4Ni3O10 (GGA-PBEsol, Alexandria).

energy relative to the elements, uncorrected: -3879.2 kJ/mol of formula units
symmetry: P2_1/c
DOS(E_F): 11.25 states/eV per cell
magnetization: 0.07 μB/cell

Cell: 13.7653 5.4117 5.2806 Å, 90.00 100.36 90.00°
Fractional coordinates of all 34 atoms:
Nd1 0.1028 0.0147 0.2988
Nd2 0.1028 0.4853 0.7988
Nd3 0.3633 0.0013 0.4044
Nd4 0.3633 0.4987 0.9044
Nd5 0.6367 0.5013 0.0956
Nd6 0.6367 0.9987 0.5956
Nd7 0.8972 0.5147 0.2012
Nd8 0.8972 0.9853 0.7012
Ni1 0.2194 0.5032 0.3536
Ni2 0.2194 0.9968 0.8536
Ni3 0.5000 0.0000 0.0000
Ni4 0.5000 0.5000 0.5000
Ni5 0.7806 0.0032 0.1464
Ni6 0.7806 0.4968 0.6464
O1 0.0673 0.0444 0.7808
O2 0.0673 0.4556 0.2808
O3 0.2037 0.7495 0.0958
O4 0.2037 0.7505 0.5958
O5 0.2335 0.2502 0.1100
O6 0.2335 0.2498 0.6100
O7 0.3586 0.5612 0.4288
O8 0.3586 0.9388 0.9288
O9 0.4823 0.2135 0.7033
O10 0.4823 0.2865 0.2033
O11 0.5177 0.7135 0.7967
O12 0.5177 0.7865 0.2967
O13 0.6414 0.0612 0.0712
O14 0.6414 0.4388 0.5712
O15 0.7665 0.7502 0.3900
O16 0.7665 0.7498 0.8900
O17 0.7963 0.2495 0.4042
O18 0.7963 0.2505 0.9042
O19 0.9327 0.5444 0.7192
O20 0.9327 0.9556 0.2192

***

(2)
# NdNiO3

An optimized crystal structure of NdNiO3 (GGA-PBEsol, Alexandria).

energy relative to the elements, uncorrected: -1052.3 kJ/mol of formula units
symmetry: Pnma
DOS(E_F): 9.20 states/eV per cell
magnetization: 0.54 μB/cell

Cell: 5.3193 7.5366 5.3455 Å, 90.00 90.00 90.00°
Fractional coordinates of all 20 atoms:
Nd1 0.0372 0.2500 0.0075
Nd2 0.4628 0.7500 0.5075
Nd3 0.5372 0.2500 0.4925
Nd4 0.9628 0.7500 0.9925
Ni1 0.0000 0.0000 0.5000
Ni2 0.0000 0.5000 0.5000
Ni3 0.5000 0.0000 0.0000
Ni4 0.5000 0.5000 0.0000
O1 0.0049 0.7500 0.4312
O2 0.2198 0.5379 0.7795
O3 0.2198 0.9622 0.7795
O4 0.2802 0.0378 0.2795
O5 0.2802 0.4622 0.2795
O6 0.4951 0.2500 0.9312
O7 0.5049 0.7500 0.0688
O8 0.7198 0.5379 0.7205
O9 0.7198 0.9622 0.7205
O10 0.7802 0.0378 0.2205
O11 0.7802 0.4622 0.2205
O12 0.9951 0.2500 0.5688

***

(3)
# Nd2NiPtO6

An optimized crystal structure of Nd2NiPtO6 (GGA-PBEsol, Alexandria).

energy relative to the elements, uncorrected: -1996.6 kJ/mol of formula units
symmetry: P2_1/c
magnetization: 4.03 μB/cell

Cell: 5.3457 5.7617 9.3600 Å, 90.00 124.62 90.00°
Fractional coordinates of all 20 atoms:
Nd1 0.2276 0.0734 0.2495
Nd2 0.2276 0.4266 0.7495
Nd3 0.7724 0.5734 0.2505
Nd4 0.7724 0.9266 0.7505
Ni1 0.0000 0.0000 0.5000
Ni2 0.0000 0.5000 0.0000
Pt1 0.5000 0.0000 0.0000
Pt2 0.5000 0.5000 0.5000
O1 0.1407 0.1984 0.9497
O2 0.1407 0.3016 0.4497
O3 0.2602 0.6994 0.9498
O4 0.2602 0.8006 0.4498
O5 0.3475 0.0284 0.7471
O6 0.3475 0.4716 0.2471
O7 0.6525 0.5284 0.7529
O8 0.6525 0.9716 0.2529
O9 0.7398 0.1994 0.5502
O10 0.7398 0.3006 0.0502
O11 0.8593 0.6984 0.5503
O12 0.8593 0.8016 0.0503

***

(4)
# SrNdNiO4

An optimized crystal structure of SrNdNiO4 (GGA-PBEsol, Alexandria).

energy relative to the elements, uncorrected: -1614.0 kJ/mol of formula units
symmetry: I4mm
DOS(E_F): 1.13 states/eV per cell
magnetization: 0.00 μB/cell

Cell: 3.7776 3.7776 12.0671 Å, 90.00 90.00 90.00°
Fractional coordinates of all 14 atoms:
Sr1 0.0000 0.0000 0.0000
Sr2 0.5000 0.5000 0.5000
Nd1 0.0000 0.0000 0.2784
Nd2 0.5000 0.5000 0.7784
Ni1 0.0000 0.0000 0.6368
Ni2 0.5000 0.5000 0.1368
O1 0.0000 0.0000 0.4722
O2 0.0000 0.0000 0.8003
O3 0.0000 0.5000 0.1489
O4 0.0000 0.5000 0.6489
O5 0.5000 0.0000 0.1489
O6 0.5000 0.0000 0.6489
O7 0.5000 0.5000 0.3003
O8 0.5000 0.5000 0.9722